1.
Compound: Cd2IrW
Source: Alexandria
Functional: meta-GGA SCAN
Structure: PBEsol geometry

Summary:
Space-group type: No. 10
Mass density: 14.94 Mg/m³
E_tot: -199.8 eV per formula unit
Total magnetization: 0.0 μB per formula unit

Cell lengths 2.810, 4.808, 4.965 Å; angles 90.00, 95.31, 90.00 degrees
Atoms (fractional coordinates):
Ir (0.500, 0.500, 0.000)
W (0.000, 0.500, 0.500)
Cd (0.715, 0.000, 0.754)
Cd (0.285, 0.000, 0.246)

=====

2.
Compound: LiTl3Mo
Source: Alexandria
Functional: meta-GGA SCAN
Structure: PBEsol geometry

Summary:
Space-group type: No. 221
Mass density: 7.93 Mg/m³
E_tot: -252.1 eV per formula unit
Total magnetization: 0.0 μB per formula unit

Cell lengths 5.313, 5.313, 5.313 Å; angles 90.00, 90.00, 90.00 degrees
Atoms (fractional coordinates):
Tl (0.000, 0.500, 0.000)
Tl (0.000, 0.000, 0.500)
Tl (0.500, 0.000, 0.000)
Mo (0.000, 0.000, 0.000)
Li (0.500, 0.500, 0.500)

=====

3.
Compound: SIO2F
Source: Alexandria
Functional: meta-GGA SCAN
Structure: PBEsol geometry

Summary:
Space-group type: No. 123
Mass density: 4.16 Mg/m³
Formation energy from raw total energies: 53 meV/atom
E_tot: -62.1 eV per formula unit
Total magnetization: 0.0 μB per formula unit

Cell lengths 3.511, 3.511, 6.803 Å; angles 90.00, 90.00, 90.00 degrees
Atoms (fractional coordinates):
I (0.000, 0.000, 0.500)
S (0.000, 0.000, 0.000)
O (0.000, 0.500, 0.000)
O (0.500, 0.000, 0.000)
F (0.500, 0.500, 0.500)

=====

4.
Compound: Tl2NiF4
Source: Alexandria
Functional: meta-GGA SCAN
Structure: PBEsol geometry

Summary:
Space-group type: No. 139
Mass density: 8.08 Mg/m³
Formation energy from raw total energies: -2055 meV/atom
E_tot: -189.4 eV per formula unit
Total magnetization: 2.0 μB per formula unit

Cell lengths 4.028, 4.028, 7.448 Å; angles 105.69, 105.69, 90.00 degrees
Atoms (fractional coordinates):
Tl (0.649, 0.649, 0.298)
Tl (0.351, 0.351, 0.702)
Ni (0.000, 0.000, 0.000)
F (0.856, 0.856, 0.712)
F (0.144, 0.144, 0.288)
F (0.500, 0.000, 0.000)
F (0.000, 0.500, 0.000)